## Tl2ZnAg2 (PBE-GGA)

Data for crystalline Tl2ZnAg2 at its relaxed geometry.

Cell: 4.470 4.470 7.355 Å, 72.31 72.31 90.00°
Fractional positions:
Ag 0.400 0.400 0.199
Zn 0.000 0.000 0.000
Ag 0.600 0.600 0.801
Tl 0.750 0.250 0.500
Tl 0.250 0.750 0.500

Summary:
**Formation energy from the elements**: 0.375 eV/atom
**Total DFT energy (no corrections)**: -9.84 eV/cell
**ΔE to the lowest computed polymorph**: 230 meV/atom
**Space-group type**: I4/mmm



## SrYAlAu (PBE-GGA)

Data for crystalline SrYAlAu at its relaxed geometry.

Cell: 5.300 5.300 5.300 Å, 60.00 60.00 60.00°
Fractional positions:
Sr 0.250 0.250 0.250
Au 0.000 0.000 0.000
Y 0.750 0.750 0.750
Al 0.500 0.500 0.500

Summary:
**Formation energy from the elements**: -0.415 eV/atom
**Total DFT energy (no corrections)**: -16.82 eV/cell
**Space-group type**: F-43m



## Dy2Y6Ho3In (PBE-GGA)

Data for crystalline Dy2Y6Ho3In at its relaxed geometry.

Cell: 6.101 6.101 11.646 Å, 95.03 95.03 120.04°
Fractional positions:
Y 0.082 0.410 0.247
Ho 0.834 0.166 0.500
Y 0.918 0.590 0.753
Y 0.590 0.918 0.753
Dy 0.666 0.334 0.000
Ho 0.166 0.834 0.500
In 0.000 0.000 0.000
Ho 0.500 0.500 0.500
Y 0.246 0.246 0.752
Y 0.410 0.082 0.247
Dy 0.334 0.666 0.000
Y 0.754 0.754 0.248

Summary:
**Formation energy from the elements**: -0.039 eV/atom
**Total DFT energy (no corrections)**: -64.93 eV/cell
**Space-group type**: C2/m



## ScTlGaPb2 (PBE-GGA)

Data for crystalline ScTlGaPb2 at its relaxed geometry.

Cell: 5.488 5.267 5.488 Å, 90.00 90.00 90.00°
Fractional positions:
Ga 0.000 0.000 0.000
Sc 0.500 0.500 0.500
Pb 0.000 0.000 0.500
Tl 0.000 0.500 0.000
Pb 0.500 0.000 0.000

Summary:
**Formation energy from the elements**: 0.428 eV/atom
**Total DFT energy (no corrections)**: -17.00 eV/cell
**Space-group type**: P4/mmm